Entry 1:
Compound: LaTbScSe3
Source: the Alexandria database
Functional: PBE-GGA
Structure: optimized geometry

Lattice parameters (Å, degrees): 8.464 4.111 9.358 90.00 105.16 90.00
Space group P2_1/m (No. 11)
Symmetry-distinct sites (fractional):
La 0.183 0.250 0.218 [2 per cell]
Tb 0.344 0.750 0.861 [2 per cell]
Sc 0.105 0.250 0.599 [2 per cell]
Se 0.102 0.250 0.880 [2 per cell]
Se 0.235 0.750 0.490 [2 per cell]
Se 0.439 0.750 0.182 [2 per cell]

Computed properties:
Raw formation energy in eV per atom: -1.6473
DOS at the Fermi energy in states/eV/atom: 0.6023

---

Entry 2:
Compound: La4Tb3ScSe8
Source: the Alexandria database
Functional: PBE-GGA
Structure: optimized geometry

Lattice parameters (Å, degrees): 8.3096 8.3096 20.7218 90.00 90.00 120.00
Space group R-3m (No. 166, hexagonal axes)
Symmetry-distinct sites (fractional):
La 0.0000 0.0000 0.0000 [3 per cell]
La 0.0000 0.5000 0.0000 [9 per cell]
Tb 0.0000 0.5000 0.5000 [9 per cell]
Sc 0.0000 0.0000 0.5000 [3 per cell]
Se 0.0000 0.0000 0.2442 [6 per cell]
Se 0.0082 0.5041 0.2424 [18 per cell]

Computed properties:
Raw formation energy in eV per atom: -1.8559
DOS at the Fermi energy in states/eV/atom: 0.6642

---

Entry 3:
Compound: La3Tb3ScSe8
Source: the Alexandria database
Functional: PBE-GGA
Structure: optimized geometry

Lattice parameters (Å, degrees): 8.2741 8.2741 20.7701 90.00 90.00 120.00
Space group R-3m (No. 166, hexagonal axes)
Symmetry-distinct sites (fractional):
La 0.0000 0.5000 0.0000 [9 per cell]
Tb 0.0000 0.5000 0.5000 [9 per cell]
Sc 0.0000 0.0000 0.5000 [3 per cell]
Se 0.0000 0.0000 0.2445 [6 per cell]
Se 0.0071 0.5036 0.2430 [18 per cell]

Computed properties:
Raw formation energy in eV per atom: -1.8929
DOS at the Fermi energy in states/eV/atom: 0.5379

---

Entry 4:
Compound: La2Tb3ScSe6
Source: the Alexandria database
Functional: PBE-GGA
Structure: optimized geometry

Lattice parameters (Å, degrees): 18.018 4.119 8.338 90.00 103.43 90.00
Space group C2/m (No. 12)
Symmetry-distinct sites (fractional):
La 0.166 0.000 0.333 [4 per cell]
Tb 0.000 0.500 0.500 [2 per cell]
Tb 0.171 0.000 0.836 [4 per cell]
Sc 0.000 0.500 0.000 [2 per cell]
Se 0.006 0.000 0.763 [4 per cell]
Se 0.160 0.500 0.069 [4 per cell]
Se 0.163 0.500 0.593 [4 per cell]

Computed properties:
Raw formation energy in eV per atom: -1.7957
DOS at the Fermi energy in states/eV/atom: 0.5465

---

Entry 5:
Compound: La2ThScSe4
Source: the Alexandria database
Functional: PBE-GGA
Structure: optimized geometry

Lattice parameters (Å, degrees): 7.241 4.146 7.308 90.00 108.94 90.00
Space group P2/m (No. 10)
Symmetry-distinct sites (fractional):
La 0.000 0.000 0.000 [1 per cell]
La 0.000 0.500 0.500 [1 per cell]
Th 0.500 0.000 0.500 [1 per cell]
Sc 0.500 0.500 0.000 [1 per cell]
Se 0.265 0.500 0.240 [2 per cell]
Se 0.275 0.000 0.771 [2 per cell]

Computed properties:
Raw formation energy in eV per atom: -1.7517
DOS at the Fermi energy in states/eV/atom: 0.6103

---

Entry 6:
Compound: La4Th3ScSe8
Source: the Alexandria database
Functional: PBE-GGA
Structure: optimized geometry

Lattice parameters (Å, degrees): 8.4407 8.4407 20.7142 90.00 90.00 120.00
Space group R-3m (No. 166, hexagonal axes)
Symmetry-distinct sites (fractional):
La 0.0000 0.0000 0.0000 [3 per cell]
La 0.0000 0.5000 0.0000 [9 per cell]
Th 0.0000 0.5000 0.5000 [9 per cell]
Sc 0.0000 0.0000 0.5000 [3 per cell]
Se 0.0000 0.0000 0.2487 [6 per cell]
Se 0.0134 0.5067 0.2450 [18 per cell]

Computed properties:
Raw formation energy in eV per atom: -1.7582
DOS at the Fermi energy in states/eV/atom: 0.5376

---

Entry 7:
Compound: La3Th3ScSe8
Source: the Alexandria database
Functional: PBE-GGA
Structure: optimized geometry

Lattice parameters (Å, degrees): 8.3806 8.3806 20.9878 90.00 90.00 120.00
Space group R-3m (No. 166, hexagonal axes)
Symmetry-distinct sites (fractional):
La 0.0000 0.5000 0.0000 [9 per cell]
Th 0.0000 0.5000 0.5000 [9 per cell]
Sc 0.0000 0.0000 0.5000 [3 per cell]
Se 0.0000 0.0000 0.2488 [6 per cell]
Se 0.0122 0.5061 0.2447 [18 per cell]

Computed properties:
Raw formation energy in eV per atom: -1.7697
DOS at the Fermi energy in states/eV/atom: 0.8454

---

Entry 8:
Compound: LaScTiSe2
Source: the Alexandria database
Functional: PBE-GGA
Structure: optimized geometry

Lattice parameters (Å, degrees): 5.616 5.616 5.714 90.00 90.00 90.00
Space group P4/mmm (No. 123)
Symmetry-distinct sites (fractional):
La 0.000 0.000 0.000 [1 per cell]
Sc 0.000 0.000 0.500 [1 per cell]
Ti 0.500 0.500 0.500 [1 per cell]
Se 0.000 0.500 0.000 [2 per cell]

Computed properties:
Raw formation energy in eV per atom: 0.5370
DOS at the Fermi energy in states/eV/atom: 1.3763

---

Entry 9:
Compound: LaScTi2Se
Source: the Alexandria database
Functional: PBE-GGA
Structure: optimized geometry

Lattice parameters (Å, degrees): 4.605 4.605 6.168 90.00 90.00 90.00
Space group P4/mmm (No. 123)
Symmetry-distinct sites (fractional):
La 0.000 0.000 0.000 [1 per cell]
Sc 0.000 0.000 0.500 [1 per cell]
Ti 0.000 0.500 0.500 [2 per cell]
Se 0.500 0.500 0.000 [1 per cell]

Computed properties:
Raw formation energy in eV per atom: 0.7110
DOS at the Fermi energy in states/eV/atom: 1.5131

---

Entry 10:
Compound: La3ScTl3Se8
Source: the Alexandria database
Functional: PBE-GGA
Structure: optimized geometry

Lattice parameters (Å, degrees): 8.6529 8.6529 22.6384 90.00 90.00 120.00
Space group R-3m (No. 166, hexagonal axes)
Symmetry-distinct sites (fractional):
La 0.0000 0.5000 0.0000 [9 per cell]
Sc 0.0000 0.0000 0.0000 [3 per cell]
Tl 0.0000 0.5000 0.5000 [9 per cell]
Se 0.0000 0.0000 0.2607 [6 per cell]
Se 0.0260 0.5130 0.7346 [18 per cell]

Computed properties:
Raw formation energy in eV per atom: -1.3990
DOS at the Fermi energy in states/eV/atom: 0.4524

---

Entry 11:
Compound: La2ScTl3Se6
Source: the Alexandria database
Functional: PBE-GGA
Structure: optimized geometry

Lattice parameters (Å, degrees): 7.427 12.828 8.084 90.00 107.76 90.00
Space group C2/m (No. 12)
Symmetry-distinct sites (fractional):
La 0.000 0.166 0.000 [4 per cell]
Sc 0.000 0.500 0.000 [2 per cell]
Tl 0.000 0.000 0.500 [2 per cell]
Tl 0.000 0.331 0.500 [4 per cell]
Se 0.223 0.345 0.203 [8 per cell]
Se 0.240 0.500 0.791 [4 per cell]

Computed properties:
Raw formation energy in eV per atom: -1.3754

---

Entry 12:
Compound: La2TmScSe6
Source: the Alexandria database
Functional: PBE-GGA
Structure: optimized geometry

Lattice parameters (Å, degrees): 6.913 7.654 12.288 90.00 123.65 90.00
Space group P2_1/c (No. 14)
Symmetry-distinct sites (fractional):
La 0.207 0.103 0.248 [4 per cell]
Tm 0.500 0.000 0.000 [2 per cell]
Sc 0.000 0.000 0.500 [2 per cell]
Se 0.105 0.189 0.935 [4 per cell]
Se 0.256 0.681 0.936 [4 per cell]
Se 0.379 0.039 0.744 [4 per cell]

Computed properties:
Raw formation energy in eV per atom: -1.9213
DOS at the Fermi energy in states/eV/atom: 0.0000

---

Entry 13:
Compound: La4TmSc3Se8
Source: the Alexandria database
Functional: PBE-GGA
Structure: optimized geometry

Lattice parameters (Å, degrees): 13.781 7.946 10.026 90.00 117.27 90.00
Space group C2/m (No. 12)
Symmetry-distinct sites (fractional):
La 0.000 0.000 0.000 [2 per cell]
La 0.000 0.500 0.000 [2 per cell]
La 0.250 0.250 0.000 [4 per cell]
Tm 0.000 0.000 0.500 [2 per cell]
Sc 0.000 0.500 0.500 [2 per cell]
Sc 0.250 0.250 0.500 [4 per cell]
Se 0.111 0.500 0.332 [4 per cell]
Se 0.115 0.000 0.329 [4 per cell]
Se 0.143 0.257 0.670 [8 per cell]

Computed properties:
Raw formation energy in eV per atom: -1.3720
DOS at the Fermi energy in states/eV/atom: 0.4707

---

Entry 14:
Compound: La3Tm3ScSe8
Source: the Alexandria database
Functional: PBE-GGA
Structure: optimized geometry

Lattice parameters (Å, degrees): 8.1704 8.1704 20.7338 90.00 90.00 120.00
Space group R-3m (No. 166, hexagonal axes)
Symmetry-distinct sites (fractional):
La 0.0000 0.5000 0.0000 [9 per cell]
Tm 0.0000 0.5000 0.5000 [9 per cell]
Sc 0.0000 0.0000 0.5000 [3 per cell]
Se 0.0000 0.0000 0.2422 [6 per cell]
Se 0.0015 0.5008 0.2420 [18 per cell]

Computed properties:
Raw formation energy in eV per atom: -1.8631
DOS at the Fermi energy in states/eV/atom: 0.5257

---

Entry 15:
Compound: La2TmScSe4
Source: the Alexandria database
Functional: PBE-GGA
Structure: optimized geometry

Lattice parameters (Å, degrees): 7.043 4.048 7.367 90.00 108.47 90.00
Space group P2/m (No. 10)
Symmetry-distinct sites (fractional):
La 0.000 0.000 0.000 [1 per cell]
La 0.500 0.500 0.000 [1 per cell]
Tm 0.000 0.500 0.500 [1 per cell]
Sc 0.500 0.000 0.500 [1 per cell]
Se 0.245 0.000 0.722 [2 per cell]
Se 0.265 0.500 0.281 [2 per cell]

Computed properties:
Raw formation energy in eV per atom: -1.8092
DOS at the Fermi energy in states/eV/atom: 0.5646

---

Entry 16:
Compound: La3TmSc2Se6
Source: the Alexandria database
Functional: PBE-GGA
Structure: optimized geometry

Lattice parameters (Å, degrees): 7.018 12.193 7.305 90.00 108.77 90.00
Space group C2/m (No. 12)
Symmetry-distinct sites (fractional):
La 0.000 0.000 0.000 [2 per cell]
La 0.000 0.336 0.000 [4 per cell]
Tm 0.000 0.500 0.500 [2 per cell]
Sc 0.000 0.167 0.500 [4 per cell]
Se 0.233 0.000 0.718 [4 per cell]
Se 0.243 0.330 0.720 [8 per cell]

Computed properties:
Raw formation energy in eV per atom: -1.8012
DOS at the Fermi energy in states/eV/atom: 0.5147

---

Entry 17:
Compound: LaTm2ScSe4
Source: the Alexandria database
Functional: PBE-GGA
Structure: optimized geometry

Lattice parameters (Å, degrees): 8.156 8.181 11.448 90.00 90.00 90.00
Space group Fmmm (No. 69)
Symmetry-distinct sites (fractional):
La 0.000 0.000 0.000 [4 per cell]
Tm 0.250 0.250 0.250 [8 per cell]
Sc 0.000 0.000 0.500 [4 per cell]
Se 0.000 0.000 0.263 [8 per cell]
Se 0.250 0.250 0.000 [8 per cell]

Computed properties:
Raw formation energy in eV per atom: -1.6754
DOS at the Fermi energy in states/eV/atom: 0.6057

---

Entry 18:
Compound: LaY2ScSe6
Source: the Alexandria database
Functional: PBE-GGA
Structure: optimized geometry

Lattice parameters (Å, degrees): 7.2234 7.2234 19.3301 90.00 90.00 120.00
Space group R3 (No. 146, hexagonal axes)
Symmetry-distinct sites (fractional):
La 0.0000 0.0000 0.0000 [3 per cell]
Y 0.0000 0.0000 0.2925 [3 per cell]
Y 0.0000 0.0000 0.8001 [3 per cell]
Sc 0.0000 0.0000 0.4891 [3 per cell]
Se 0.0211 0.7205 0.3964 [9 per cell]
Se 0.0262 0.3421 0.5602 [9 per cell]

Computed properties:
Raw formation energy in eV per atom: -1.8239
DOS at the Fermi energy in states/eV/atom: 0.0000

---

Entry 19:
Compound: La4YSc3Se8
Source: the Alexandria database
Functional: PBE-GGA
Structure: optimized geometry

Lattice parameters (Å, degrees): 8.1480 8.1480 20.6658 90.00 90.00 120.00
Space group R-3m (No. 166, hexagonal axes)
Symmetry-distinct sites (fractional):
La 0.0000 0.0000 0.0000 [3 per cell]
La 0.0000 0.5000 0.0000 [9 per cell]
Y 0.0000 0.0000 0.5000 [3 per cell]
Sc 0.0000 0.5000 0.5000 [9 per cell]
Se 0.0000 0.0000 0.2388 [6 per cell]
Se 0.0080 0.5040 0.7597 [18 per cell]

Computed properties:
Raw formation energy in eV per atom: -1.7988
DOS at the Fermi energy in states/eV/atom: 0.6742

---

Entry 20:
Compound: LaY2ScSe4
Source: the Alexandria database
Functional: PBE-GGA
Structure: optimized geometry

Lattice parameters (Å, degrees): 7.093 4.059 7.175 90.00 108.91 90.00
Space group P2/m (No. 10)
Symmetry-distinct sites (fractional):
La 0.000 0.000 0.000 [1 per cell]
Y 0.500 0.000 0.500 [1 per cell]
Y 0.500 0.500 0.000 [1 per cell]
Sc 0.000 0.500 0.500 [1 per cell]
Se 0.245 0.000 0.734 [2 per cell]
Se 0.256 0.500 0.267 [2 per cell]

Computed properties:
Raw formation energy in eV per atom: -1.7466
DOS at the Fermi energy in states/eV/atom: 0.6747

---

Calculated volume? In order: 26.19; 25.82; 27.37; 25.08; 25.93; 26.62; 28.37; 36.04; 26.16; 32.62; 30.56; 27.06; 30.50; 26.64; 24.90; 24.66; 23.87; 29.12; 24.76; 24.43 A^3/atom.
Size of the total moment? In order: 1.3; 0.0; 0.0; 0.0; 0.0; 0.0; 0.0; 4.6; 0.0; 0.0; 0.0; 0.0; 0.0; 0.0; 0.0; 0.0; 0.0; 0.0; 0.0; 0.0 μB/cell.